SiH8N2F6 | meta-GGA SCAN | PBEsol geometry

The space group is P6_3mc (No. 186) and the conventional cell measures 5.7737, 5.7737 and 9.1372 Å, with angles of 90.00, 90.00 and 120.00 degrees. The asymmetric unit holds Si at (0.3333, 0.6667, 0.0000), H at (0.0000, 0.0000, 0.0425), H at (0.0976, 0.1952, 0.6929), H at (0.1388, 0.5694, 0.3374), H at (0.3333, 0.6667, 0.4883), N at (0.0000, 0.0000, 0.1554), N at (0.3333, 0.6667, 0.3755), F at (0.0535, 0.5267, 0.1069) and F at (0.1934, 0.3868, 0.8910).

The total magnetic moment is 0.0 μB/f.u. Its crystal system is hexagonal. The density of states at the Fermi level comes out at 0.00 states/eV per atom. The calculation puts the electronic total energy at -213.1 eV/cell.